# 1
Entry from Alexandria: crystalline GaCoSe2 at its relaxed geometry (PBE).

Properties
calculated total energy	-36.41	eV per cell
N(E_F)	2.079	states/eV/f.u.
formation energy without anion corrections	-0.276	eV/atom

Cell: 6.8727 6.8727 6.8727 Å, 131.55 131.55 70.94°
Sites, in units of the cell vectors:
Ga 0.0000 0.0000 0.0000
Ga 0.7500 0.2500 0.5000
Co 0.2500 0.7500 0.5000
Co 0.5000 0.5000 0.0000
Se 0.1460 0.6250 0.0210
Se 0.3750 0.3960 0.5210
Se 0.6040 0.1250 0.9790
Se 0.8750 0.8540 0.4790

# 2
Entry from Alexandria: crystalline Sc4ZnCr at its relaxed geometry (PBE).

Properties
calculated total energy	-33.12	eV per cell
formation enthalpy at 0 K	3.11	eV per formula unit
N(E_F)	6.243	states/eV/f.u.

Cell: 5.7187 5.7187 5.7187 Å, 60.00 60.00 60.00°
Sites, in units of the cell vectors:
Sc 0.3756 0.3756 0.3756
Sc 0.3756 0.3756 0.8731
Sc 0.3756 0.8731 0.3756
Sc 0.8731 0.3756 0.3756
Zn 0.0000 0.0000 0.0000
Cr 0.7500 0.7500 0.7500

# 3
Entry from Alexandria: crystalline AgP2RhCl at its relaxed geometry (PBE).

Properties
calculated total energy	-16.36	eV per cell
N(E_F)	5.498	states/eV/f.u.
formation energy without anion corrections	1.302	eV/atom

Cell: 4.7220 4.7220 4.9515 Å, 90.00 90.00 90.00°
Sites, in units of the cell vectors:
Ag 0.0000 0.0000 0.0000
P 0.0000 0.5000 0.0000
P 0.5000 0.0000 0.0000
Rh 0.5000 0.5000 0.5000
Cl 0.0000 0.0000 0.5000

# 4
Entry from Alexandria: crystalline Tc2RuRh at its relaxed geometry (PBE).

Properties
calculated total energy	-37.32	eV per cell
formation enthalpy at 0 K	0.04	eV per formula unit
N(E_F)	4.461	states/eV/f.u.

Cell: 4.7368 4.7368 4.7052 Å, 99.41 99.41 33.33°
Sites, in units of the cell vectors:
Tc 0.2485 0.2485 0.2451
Tc 0.7515 0.7515 0.7549
Ru 0.5000 0.5000 0.0000
Rh 0.0000 0.0000 0.5000

# 5
Entry from Alexandria: crystalline NbOsC2F at its relaxed geometry (PBE).

Properties
calculated total energy	-34.33	eV per cell
N(E_F)	6.188	states/eV/f.u.
formation energy without anion corrections	1.458	eV/atom

Cell: 4.2185 4.2185 3.8798 Å, 90.00 90.00 90.00°
Sites, in units of the cell vectors:
Nb 0.0000 0.0000 0.0000
Os 0.5000 0.5000 0.5000
C 0.0000 0.5000 0.0000
C 0.5000 0.0000 0.0000
F 0.0000 0.0000 0.5000

# 6
Entry from Alexandria: crystalline Mg2MnTl at its relaxed geometry (PBE).

Properties
calculated total energy	-13.81	eV per cell
formation enthalpy at 0 K	0.92	eV per formula unit
N(E_F)	2.837	states/eV/f.u.

Cell: 3.1873 4.6556 5.8378 Å, 90.00 102.15 90.00°
Sites, in units of the cell vectors:
Mg 0.0000 0.0000 0.0000
Mg 0.2794 0.5000 0.6872
Mn 0.5970 0.5000 0.1896
Tl 0.6793 0.0000 0.4676

# 7
Entry from Alexandria: crystalline Tl2SbPd at its relaxed geometry (PBE).

Properties
calculated total energy	-27.23	eV per cell
N(E_F)	2.011	states/eV/f.u.
formation energy without anion corrections	0.108	eV/atom

Cell: 11.3021 11.3021 11.3021 Å, 157.97 157.97 31.36°
Sites, in units of the cell vectors:
Tl 0.1126 0.6250 0.9876
Tl 0.3750 0.3626 0.4876
Tl 0.6374 0.1250 0.0124
Tl 0.8750 0.8874 0.5124
Sb 0.2500 0.7500 0.5000
Sb 0.5000 0.5000 0.0000
Pd 0.0000 0.0000 0.0000
Pd 0.7500 0.2500 0.5000

# 8
Entry from Alexandria: crystalline LaHo2PuSb4 at its relaxed geometry (PBE).

Properties
calculated total energy	-52.98	eV per cell
N(E_F)	16.994	states/eV/f.u.
formation energy without anion corrections	-1.010	eV/atom

Cell: 7.6941 4.4603 7.7103 Å, 90.00 109.53 90.00°
Sites, in units of the cell vectors:
La 0.0000 0.0000 0.0000
Ho 0.5000 0.0000 0.5000
Ho 0.5000 0.5000 0.0000
Pu 0.0000 0.5000 0.5000
Sb 0.2569 0.0000 0.7469
Sb 0.2610 0.5000 0.2589
Sb 0.7390 0.5000 0.7411
Sb 0.7431 0.0000 0.2531